Version w
The following is a PBE calculation of Hf3CrPb after structural relaxation, from Alexandria.

## Properties
**Mass density**: 11.48 g/cm³

Cell and atoms, written as CIF:
```
data_Hf3CrPb
_symmetry_space_group_name_H-M 'P m -3 m'
_symmetry_Int_Tables_number 221
_symmetry_space_group_name_Hall '-P 4 2 3'
_cell_length_a 4.8621
_cell_length_b 4.8621
_cell_length_c 4.8621
_cell_angle_alpha 90.00
_cell_angle_beta 90.00
_cell_angle_gamma 90.00
loop_
_atom_site_label
_atom_site_fract_x
_atom_site_fract_y
_atom_site_fract_z
_atom_site_occupancy
Hf1 0.0000 0.0000 0.5000 1
Cr1 0.0000 0.0000 0.0000 1
Pb1 0.5000 0.5000 0.5000 1
```

=====

Version x
The following is a PBE calculation of Hf3CrPb after structural relaxation, from Alexandria.

## Properties
**Mass density**: 9.11 g/cm³

Cell and atoms, written as CIF:
```
data_Hf3CrPb
_symmetry_space_group_name_H-M 'P m -3 m'
_symmetry_Int_Tables_number 221
_symmetry_space_group_name_Hall '-P 4 2 3'
_cell_length_a 5.2514
_cell_length_b 5.2514
_cell_length_c 5.2514
_cell_angle_alpha 90.00
_cell_angle_beta 90.00
_cell_angle_gamma 90.00
loop_
_atom_site_label
_atom_site_fract_x
_atom_site_fract_y
_atom_site_fract_z
_atom_site_occupancy
Hf1 0.0000 0.0000 0.5000 1
Cr1 0.5000 0.5000 0.5000 1
Pb1 0.0000 0.0000 0.0000 1
```

=====

Pick version w: it beats the second-best structure by 1.538 eV/atom.

=====

Version w
The following is a PBE calculation of Hf2Cr2Pb after structural relaxation, from Alexandria.

## Properties
**Mass density**: 12.01 g/cm³

Cell and atoms, written as CIF:
```
data_Hf2Cr2Pb
_symmetry_space_group_name_H-M 'P 4/m b m'
_symmetry_Int_Tables_number 127
_symmetry_space_group_name_Hall '-P 4 2ab'
_cell_length_a 7.2613
_cell_length_b 7.2613
_cell_length_c 3.5051
_cell_angle_alpha 90.00
_cell_angle_beta 90.00
_cell_angle_gamma 90.00
loop_
_atom_site_label
_atom_site_fract_x
_atom_site_fract_y
_atom_site_fract_z
_atom_site_occupancy
Hf1 0.1842 0.3158 0.0000 1
Cr1 0.0991 0.5991 0.5000 1
Pb1 0.0000 0.0000 0.5000 1
```

=====

Version x
The following is a PBE calculation of Hf2Cr2Pb after structural relaxation, from Alexandria.

## Properties
**Mass density**: 11.13 g/cm³

Cell and atoms, written as CIF:
```
data_Hf2Cr2Pb
_symmetry_space_group_name_H-M 'I 4/m m m'
_symmetry_Int_Tables_number 139
_symmetry_space_group_name_Hall '-I 4 2'
_cell_length_a 4.2949
_cell_length_b 4.2949
_cell_length_c 10.8102
_cell_angle_alpha 90.00
_cell_angle_beta 90.00
_cell_angle_gamma 90.00
loop_
_atom_site_label
_atom_site_fract_x
_atom_site_fract_y
_atom_site_fract_z
_atom_site_occupancy
Hf1 0.0000 0.5000 0.2500 1
Cr1 0.0000 0.0000 0.0893 1
Pb1 0.0000 0.0000 0.5000 1
```

=====

Pick version w: it beats the second-best structure by 0.511 eV/atom.

=====

Version w
The following is a PBE calculation of HfCrPb3 after structural relaxation, from Alexandria.

## Properties
**Mass density**: 7.97 g/cm³

Cell and atoms, written as CIF:
```
data_HfCrPb3
_symmetry_space_group_name_H-M 'P m -3 m'
_symmetry_Int_Tables_number 221
_symmetry_space_group_name_Hall '-P 4 2 3'
_cell_length_a 5.6207
_cell_length_b 5.6207
_cell_length_c 5.6207
_cell_angle_alpha 90.00
_cell_angle_beta 90.00
_cell_angle_gamma 90.00
loop_
_atom_site_label
_atom_site_fract_x
_atom_site_fract_y
_atom_site_fract_z
_atom_site_occupancy
Hf1 0.0000 0.0000 0.0000 1
Cr1 0.5000 0.5000 0.5000 1
Pb1 0.0000 0.0000 0.5000 1
```

=====

Version x
The following is a PBE calculation of HfCrPb3 after structural relaxation, from Alexandria.

## Properties
**Mass density**: 10.32 g/cm³

Cell and atoms, written as CIF:
```
data_HfCrPb3
_symmetry_space_group_name_H-M 'P m -3 m'
_symmetry_Int_Tables_number 221
_symmetry_space_group_name_Hall '-P 4 2 3'
_cell_length_a 5.1561
_cell_length_b 5.1561
_cell_length_c 5.1561
_cell_angle_alpha 90.00
_cell_angle_beta 90.00
_cell_angle_gamma 90.00
loop_
_atom_site_label
_atom_site_fract_x
_atom_site_fract_y
_atom_site_fract_z
_atom_site_occupancy
Hf1 0.0000 0.0000 0.0000 1
Cr1 0.5000 0.5000 0.5000 1
Pb1 0.0000 0.5000 0.5000 1
```

=====

Pick version w: it beats the second-best structure by 0.088 eV/atom.

=====

Version w
The following is a PBE calculation of Hf2Cr2Pd after structural relaxation, from Alexandria.

## Properties
**Mass density**: 10.58 g/cm³

Cell and atoms, written as CIF:
```
data_Hf2Cr2Pd
_symmetry_space_group_name_H-M 'P 4/m b m'
_symmetry_Int_Tables_number 127
_symmetry_space_group_name_Hall '-P 4 2ab'
_cell_length_a 7.3863
_cell_length_b 7.3863
_cell_length_c 3.2634
_cell_angle_alpha 90.00
_cell_angle_beta 90.00
_cell_angle_gamma 90.00
loop_
_atom_site_label
_atom_site_fract_x
_atom_site_fract_y
_atom_site_fract_z
_atom_site_occupancy
Hf1 0.1557 0.3443 0.0000 1
Cr1 0.1384 0.6384 0.5000 1
Pd1 0.0000 0.0000 0.0000 1
```

=====

Version x
The following is a PBE calculation of Hf2Cr2Pd after structural relaxation, from Alexandria.

## Properties
**Mass density**: 11.14 g/cm³

Cell and atoms, written as CIF:
```
data_Hf2Cr2Pd
_symmetry_space_group_name_H-M 'P 4/m b m'
_symmetry_Int_Tables_number 127
_symmetry_space_group_name_Hall '-P 4 2ab'
_cell_length_a 6.5002
_cell_length_b 6.5002
_cell_length_c 4.0036
_cell_angle_alpha 90.00
_cell_angle_beta 90.00
_cell_angle_gamma 90.00
loop_
_atom_site_label
_atom_site_fract_x
_atom_site_fract_y
_atom_site_fract_z
_atom_site_occupancy
Hf1 0.1824 0.3176 0.0000 1
Cr1 0.1074 0.6074 0.5000 1
Pd1 0.0000 0.0000 0.5000 1
```

=====

Version y
The following is a PBE calculation of Hf2Cr2Pd after structural relaxation, from Alexandria.

## Properties
**Mass density**: 10.95 g/cm³

Cell and atoms, written as CIF:
```
data_Hf2Cr2Pd
_symmetry_space_group_name_H-M 'I 4/m m m'
_symmetry_Int_Tables_number 139
_symmetry_space_group_name_Hall '-I 4 2'
_cell_length_a 3.2143
_cell_length_b 3.2143
_cell_length_c 16.6523
_cell_angle_alpha 90.00
_cell_angle_beta 90.00
_cell_angle_gamma 90.00
loop_
_atom_site_label
_atom_site_fract_x
_atom_site_fract_y
_atom_site_fract_z
_atom_site_occupancy
Hf1 0.0000 0.0000 0.1083 1
Cr1 0.0000 0.5000 0.2500 1
Pd1 0.0000 0.0000 0.5000 1
```

=====

Pick version x: it beats the second-best structure by 0.143 eV/atom.

=====

Version w
The following is a PBE calculation of HfCrPd3 after structural relaxation, from Alexandria.

## Properties
**Mass density**: 9.69 g/cm³

Cell and atoms, written as CIF:
```
data_HfCrPd3
_symmetry_space_group_name_H-M 'P m -3 m'
_symmetry_Int_Tables_number 221
_symmetry_space_group_name_Hall '-P 4 2 3'
_cell_length_a 4.5506
_cell_length_b 4.5506
_cell_length_c 4.5506
_cell_angle_alpha 90.00
_cell_angle_beta 90.00
_cell_angle_gamma 90.00
loop_
_atom_site_label
_atom_site_fract_x
_atom_site_fract_y
_atom_site_fract_z
_atom_site_occupancy
Hf1 0.0000 0.0000 0.0000 1
Cr1 0.5000 0.5000 0.5000 1
Pd1 0.0000 0.5000 0.5000 1
```

=====

Version x
The following is a PBE calculation of HfCrPd3 after structural relaxation, from Alexandria.

## Properties
**Mass density**: 8.22 g/cm³

Cell and atoms, written as CIF:
```
data_HfCrPd3
_symmetry_space_group_name_H-M 'P m -3 m'
_symmetry_Int_Tables_number 221
_symmetry_space_group_name_Hall '-P 4 2 3'
_cell_length_a 4.8058
_cell_length_b 4.8058
_cell_length_c 4.8058
_cell_angle_alpha 90.00
_cell_angle_beta 90.00
_cell_angle_gamma 90.00
loop_
_atom_site_label
_atom_site_fract_x
_atom_site_fract_y
_atom_site_fract_z
_atom_site_occupancy
Hf1 0.0000 0.0000 0.0000 1
Cr1 0.5000 0.5000 0.5000 1
Pd1 0.0000 0.0000 0.5000 1
```

=====

Pick version w: it beats the second-best structure by 0.533 eV/atom.

=====

Version w
The following is a PBE calculation of Hf2CrPt after structural relaxation, from Alexandria.

## Properties
**Mass density**: 12.49 g/cm³

Cell and atoms, written as CIF:
```
data_Hf2CrPt
_symmetry_space_group_name_H-M 'I -4 2 d'
_symmetry_Int_Tables_number 122
_symmetry_space_group_name_Hall 'I -4 2bw'
_cell_length_a 4.1769
_cell_length_b 4.1769
_cell_length_c 18.4140
_cell_angle_alpha 90.00
_cell_angle_beta 90.00
_cell_angle_gamma 90.00
loop_
_atom_site_label
_atom_site_fract_x
_atom_site_fract_y
_atom_site_fract_z
_atom_site_occupancy
Hf1 0.2487 0.2500 0.1250 1
Cr1 0.0000 0.0000 0.5000 1
Pt1 0.0000 0.0000 0.0000 1
```

=====

Version x
The following is a PBE calculation of Hf2CrPt after structural relaxation, from Alexandria.

## Properties
**Mass density**: 14.56 g/cm³

Cell and atoms, written as CIF:
```
data_Hf2CrPt
_symmetry_space_group_name_H-M 'F m -3 m'
_symmetry_Int_Tables_number 225
_symmetry_space_group_name_Hall '-F 4 2 3'
_cell_length_a 6.5078
_cell_length_b 6.5078
_cell_length_c 6.5078
_cell_angle_alpha 90.00
_cell_angle_beta 90.00
_cell_angle_gamma 90.00
loop_
_atom_site_label
_atom_site_fract_x
_atom_site_fract_y
_atom_site_fract_z
_atom_site_occupancy
Hf1 0.2500 0.2500 0.2500 1
Cr1 0.0000 0.0000 0.0000 1
Pt1 0.0000 0.0000 0.5000 1
```

=====

Pick version x: it beats the second-best structure by 0.700 eV/atom.